This record from Alexandria describes an optimized crystal structure of BaBeRu. The functional is PBE.

Cell and atoms, written as CIF:
```
data_BaBeRu
_space_group_name_H-M_alt 'I 4 m m'
_space_group_IT_number 107
_space_group_name_Hall 'I 4 -2'
_cell_length_a 3.309
_cell_length_b 3.309
_cell_length_c 11.002
_cell_angle_alpha 90.00
_cell_angle_beta 90.00
_cell_angle_gamma 90.00
loop_
_atom_site_label
_atom_site_type_symbol
_atom_site_fract_x
_atom_site_fract_y
_atom_site_fract_z
_atom_site_occupancy
Ba1 Ba 0.000 0.000 0.000 1
Be1 Be 0.000 0.000 0.262 1
Ru1 Ru 0.000 0.000 0.731 1
```

Values from the calculation:
Total DFT energy (no corrections): -4.698 eV/atom
Size of the total moment: 0.00 μB/f.u.